! TeRuSe2, relaxed, DFT GGA-PBEsol; values from VASP
! - N(E_F): 2.5 states/eV/cell
! - Uncorrected formation energy: -0.128 eV/atom
! - Total DFT energy (no corrections): -5.48 eV/atom
! - V: 20.0 Å³/atom
! - Space-group type: Cmmm (65)
&SYSTEM
  ibrav = 0, nat = 4, ntyp = 3
/
ATOMIC_SPECIES
Te 127.60 Te.upf
Ru 101.07 Ru.upf
Se 78.96 Se.upf
CELL_PARAMETERS angstrom
2.6248 -4.4307 0.0000
2.6248 4.4307 0.0000
0.0000 0.0000 3.4386
ATOMIC_POSITIONS crystal
Te 0.0000 0.0000 0.0000
Ru 0.5000 0.5000 0.0000
Se 0.3015 0.6985 0.5000
Se 0.6985 0.3015 0.5000

! HoSbPd, relaxed, DFT GGA-PBEsol; values from VASP
! - N(E_F): 0.0 states/eV/cell
! - Uncorrected formation energy: -0.705 eV/atom
! - Total DFT energy (no corrections): -5.86 eV/atom
! - V: 24.1 Å³/atom
! - Space-group type: F-43m (216)
&SYSTEM
  ibrav = 0, nat = 3, ntyp = 3
/
ATOMIC_SPECIES
Ho 164.93 Ho.upf
Sb 121.76 Sb.upf
Pd 106.42 Pd.upf
CELL_PARAMETERS angstrom
0.0000 3.3043 3.3043
3.3043 0.0000 3.3043
3.3043 3.3043 0.0000
ATOMIC_POSITIONS crystal
Ho 0.0000 0.0000 0.0000
Sb 0.7500 0.7500 0.7500
Pd 0.5000 0.5000 0.5000

! Cd2HgAu, relaxed, DFT GGA-PBEsol; values from VASP
! - Formation energy from the elements: -0.060 eV per atom
! - N(E_F): 1.3 states/eV/cell
! - Energy above the lowest structure with this stoichiometry: 19 meV per atom
! - Total DFT energy (no corrections): -1.78 eV/atom
! - V: 19.5 Å³/atom
! - Space-group type: I4/mmm (139)
&SYSTEM
  ibrav = 0, nat = 4, ntyp = 3
/
ATOMIC_SPECIES
Cd 112.41 Cd.upf
Hg 200.59 Hg.upf
Au 196.97 Au.upf
CELL_PARAMETERS angstrom
-2.2209 2.2209 3.9554
2.2209 -2.2209 3.9554
2.2209 2.2209 -3.9554
ATOMIC_POSITIONS crystal
Cd 0.2500 0.7500 0.5000
Cd 0.7500 0.2500 0.5000
Hg 0.0000 0.0000 0.0000
Au 0.5000 0.5000 0.0000

! NaLi2Sb2, relaxed, DFT GGA-PBEsol; values from VASP
! - N(E_F): 2.7 states/eV/cell
! - Uncorrected formation energy: -0.433 eV/atom
! - Energy above the lowest structure with this stoichiometry: 0 meV per atom
! - Total DFT energy (no corrections): -3.32 eV/atom
! - V: 22.5 Å³/atom
! - Space-group type: P4/mbm (127)
&SYSTEM
  ibrav = 0, nat = 10, ntyp = 3
/
ATOMIC_SPECIES
Na 22.99 Na.upf
Li 6.94 Li.upf
Sb 121.76 Sb.upf
CELL_PARAMETERS angstrom
8.5006 0.0000 0.0000
0.0000 8.5006 0.0000
0.0000 0.0000 3.1206
ATOMIC_POSITIONS crystal
Na 0.0000 0.0000 0.0000
Na 0.5000 0.5000 0.0000
Li 0.1258 0.3742 0.5000
Li 0.3742 0.8742 0.5000
Li 0.6258 0.1258 0.5000
Li 0.8742 0.6258 0.5000
Sb 0.1675 0.6675 0.0000
Sb 0.3325 0.1675 0.0000
Sb 0.6675 0.8325 0.0000
Sb 0.8325 0.3325 0.0000

! MnP2PtO, relaxed, DFT GGA-PBEsol; values from VASP
! - N(E_F): 2.6 states/eV/cell
! - Uncorrected formation energy: -0.167 eV/atom
! - Total DFT energy (no corrections): -6.88 eV/atom
! - V: 13.4 Å³/atom
! - Space-group type: P4/mmm (123)
&SYSTEM
  ibrav = 0, nat = 5, ntyp = 4
/
ATOMIC_SPECIES
Mn 54.94 Mn.upf
P 30.97 P.upf
Pt 195.08 Pt.upf
O 16.00 O.upf
CELL_PARAMETERS angstrom
4.4953 0.0000 0.0000
0.0000 4.4953 0.0000
0.0000 0.0000 3.3194
ATOMIC_POSITIONS crystal
Mn 0.0000 0.0000 0.0000
P 0.0000 0.5000 0.0000
P 0.5000 0.0000 0.0000
Pt 0.5000 0.5000 0.5000
O 0.0000 0.0000 0.5000

! BeSbOs3, relaxed, DFT GGA-PBEsol; values from VASP
! - N(E_F): 6.3 states/eV/cell
! - Uncorrected formation energy: 2.879 eV/atom
! - Total DFT energy (no corrections): -6.16 eV/atom
! - V: 21.3 Å³/atom
! - Space-group type: Pm-3m (221)
&SYSTEM
  ibrav = 0, nat = 5, ntyp = 3
/
ATOMIC_SPECIES
Be 9.01 Be.upf
Sb 121.76 Sb.upf
Os 190.23 Os.upf
CELL_PARAMETERS angstrom
4.7427 0.0000 0.0000
0.0000 4.7427 0.0000
0.0000 0.0000 4.7427
ATOMIC_POSITIONS crystal
Be 0.0000 0.0000 0.0000
Sb 0.5000 0.5000 0.5000
Os 0.0000 0.5000 0.5000
Os 0.5000 0.0000 0.5000
Os 0.5000 0.5000 0.0000

! SrTi2RePt, relaxed, DFT GGA-PBEsol; values from VASP
! - Formation energy from the elements: 2.318 eV per atom
! - N(E_F): 5.9 states/eV/cell
! - Total DFT energy (no corrections): -5.44 eV/atom
! - V: 18.6 Å³/atom
! - Space-group type: P4/mmm (123)
&SYSTEM
  ibrav = 0, nat = 5, ntyp = 4
/
ATOMIC_SPECIES
Sr 87.62 Sr.upf
Ti 47.87 Ti.upf
Re 186.21 Re.upf
Pt 195.08 Pt.upf
CELL_PARAMETERS angstrom
4.4772 0.0000 0.0000
0.0000 4.4772 0.0000
0.0000 0.0000 4.6313
ATOMIC_POSITIONS crystal
Sr 0.0000 0.0000 0.0000
Ti 0.0000 0.5000 0.0000
Ti 0.5000 0.0000 0.0000
Re 0.0000 0.0000 0.5000
Pt 0.5000 0.5000 0.5000

! MgCdPb2, relaxed, DFT GGA-PBEsol; values from VASP
! - Formation energy from the elements: 0.000 eV per atom
! - N(E_F): 1.9 states/eV/cell
! - Energy above the lowest structure with this stoichiometry: 28 meV per atom
! - Total DFT energy (no corrections): -2.73 eV/atom
! - V: 26.0 Å³/atom
! - Space-group type: Pm (6)
&SYSTEM
  ibrav = 0, nat = 4, ntyp = 3
/
ATOMIC_SPECIES
Mg 24.30 Mg.upf
Cd 112.41 Cd.upf
Pb 207.20 Pb.upf
CELL_PARAMETERS angstrom
3.5939 0.0000 0.0000
0.0000 4.9220 0.0000
-1.7796 0.0000 5.8735
ATOMIC_POSITIONS crystal
Mg 0.0000 0.0000 0.0000
Cd 0.8564 0.5000 0.7017
Pb 0.2718 0.0000 0.5325
Pb 0.5837 0.5000 0.1683